Entry from the Alexandria database: a relaxed structure of YTcSb2 (PBE).

Output
- relative energy among the computed polymorphs (meV per atom) = 245.5
- crystal system = monoclinic
- uncorrected energy (eV per cell) = -25.5

Unit cell a=3.5060 b=5.0570 c=5.5499 alpha=90.00 beta=108.32 gamma=90.00
With the nearest neighbours (Å) after each atom.
Space group Pm (No. 6)
Inequivalent atoms, fractional coordinates:
Y (0.0000, 0.0000, 0.0000)  3 Sb 2.88-2.96
Tc (0.3506, 0.5000, 0.6998)  5 Sb 2.65-2.93
Sb (0.2743, 0.0000, 0.5466)  2 Tc 2.65, 3 Y 2.88-2.96
Sb (0.6268, 0.5000, 0.2540)  3 Tc 2.92-2.93

Entry from the Alexandria database: a relaxed structure of YTcSb (PBE).

Output
- relative energy among the computed polymorphs (meV per atom) = 0.0
- crystal system = hexagonal
- uncorrected energy (eV per cell) = -21.8

Unit cell a=4.6110 b=4.6110 c=3.6130 alpha=90.00 beta=90.00 gamma=120.00
With the nearest neighbours (Å) after each atom.
Space group P-6m2 (No. 187)
Inequivalent atoms, fractional coordinates:
Y (0.0000, 0.0000, 0.0000)  6 Tc 3.22, 6 Sb 3.22
Tc (0.6667, 0.3333, 0.5000)  3 Sb 2.66
Sb (0.3333, 0.6667, 0.5000)  3 Tc 2.66

Entry from the Alexandria database: a relaxed structure of Y4TcSb (PBE).

Output
- relative energy among the computed polymorphs (meV per atom) = 1071.2
- crystal system = cubic
- uncorrected energy (eV per cell) = -146.9

Unit cell a=8.6123 b=8.6123 c=8.6123 alpha=90.00 beta=90.00 gamma=90.00
With the nearest neighbours (Å) after each atom.
Space group F-43m (No. 216)
Inequivalent atoms, fractional coordinates:
Y (0.1238, 0.1238, 0.3762)  6 Y 3.02-3.07
Tc (0.2500, 0.2500, 0.7500)  12 Y 3.57, 4 Sb 3.73
Sb (0.0000, 0.0000, 0.0000)  12 Y 3.57, 4 Tc 3.73

Entry from the Alexandria database: a relaxed structure of Y2TcSb (PBE).

Output
- crystal system = tetragonal
- uncorrected energy (eV per cell) = -56.3

Unit cell a=4.3370 b=4.3370 c=10.0021 alpha=90.00 beta=90.00 gamma=90.00
With the nearest neighbours (Å) after each atom.
Space group I-4m2 (No. 119)
Inequivalent atoms, fractional coordinates:
Y (0.0000, 0.0000, 0.0000)  4 Tc 3.07, 4 Sb 3.31, 4 Y 3.31
Y (0.0000, 0.5000, 0.2500)  4 Sb 3.07, 4 Y 3.31, 4 Tc 3.31
Tc (0.0000, 0.0000, 0.5000)  8 Y 3.07-3.31, 4 Sb 3.31
Sb (0.0000, 0.5000, 0.7500)  8 Y 3.07-3.31, 4 Tc 3.31

Entry from the Alexandria database: a relaxed structure of Y3TcSb (PBE).

Output
- relative energy among the computed polymorphs (meV per atom) = 0.0
- crystal system = cubic
- uncorrected energy (eV per cell) = -34.3

Unit cell a=5.2907 b=5.2907 c=5.2907 alpha=90.00 beta=90.00 gamma=90.00
With the nearest neighbours (Å) after each atom.
Space group Pm-3m (No. 221)
Inequivalent atoms, fractional coordinates:
Y (0.0000, 0.0000, 0.5000)  2 Tc 2.65
Tc (0.0000, 0.0000, 0.0000)  6 Y 2.65
Sb (0.5000, 0.5000, 0.5000)  12 Y 3.74

Entry from the Alexandria database: a relaxed structure of Y2Tc2Sb (PBE).

Output
- crystal system = tetragonal
- uncorrected energy (eV per cell) = -78.2

Unit cell a=6.9544 b=6.9544 c=4.6078 alpha=90.00 beta=90.00 gamma=90.00
With the nearest neighbours (Å) after each atom.
Space group P4/mbm (No. 127)
Inequivalent atoms, fractional coordinates:
Y (0.1765, 0.3235, 0.0000)  6 Tc 3.06-3.11
Tc (0.1180, 0.6180, 0.5000)  1 Tc 2.32
Sb (0.0000, 0.0000, 0.5000)  4 Tc 2.78

Please write out number 6 again, unchanged.
Entry from the Alexandria database: a relaxed structure of Y2Tc2Sb (PBE).

Output
- crystal system = tetragonal
- uncorrected energy (eV per cell) = -78.2

Unit cell a=6.9544 b=6.9544 c=4.6078 alpha=90.00 beta=90.00 gamma=90.00
With the nearest neighbours (Å) after each atom.
Space group P4/mbm (No. 127)
Inequivalent atoms, fractional coordinates:
Y (0.1765, 0.3235, 0.0000)  6 Tc 3.06-3.11
Tc (0.1180, 0.6180, 0.5000)  1 Tc 2.32
Sb (0.0000, 0.0000, 0.5000)  4 Tc 2.78

Question: Which value of uncorrected energy does entry 5 give?
Answer: -34.3 eV per cell

Question: Which of these has the highest uncorrected energy?
Answer: YTcSb

Question: Look up the uncorrected energy of the sixth one.
Answer: -78.2 eV per cell